LiIn4Br | meta-GGA SCAN | PBEsol geometry

Output
The uncorrected formation energy is -90 meV/atom. The calculation puts the density at 5560 kg/m³. Its total energy is -155.9 eV for the cell shown. As for the space-group type: No. 216.

Unit cell a=6.133 b=6.133 c=6.133 alpha=60.00 beta=60.00 gamma=60.00
Positions (direct):
Li (0.000, 0.000, 0.000)
In (0.375, 0.375, 0.375)
In (0.375, 0.375, 0.876)
In (0.375, 0.876, 0.375)
In (0.876, 0.375, 0.375)
Br (0.750, 0.750, 0.750)

=====

LiIn2Br | meta-GGA SCAN | PBEsol geometry

Output
The uncorrected formation energy is -472 meV/atom. The calculation puts the density at 5088 kg/m³. Its total energy is -90.5 eV for the cell shown. As for the space-group type: No. 71.

Unit cell a=6.688 b=6.688 c=6.688 alpha=144.23 beta=143.56 gamma=51.99
Positions (direct):
Li (0.000, 0.000, 0.000)
In (0.253, 0.753, 0.500)
In (0.747, 0.247, 0.500)
Br (0.500, 0.500, 0.000)

=====

Mg2InBr | meta-GGA SCAN | PBEsol geometry

Output
The uncorrected formation energy is -59 meV/atom. The calculation puts the density at 4064 kg/m³. Its total energy is -63.0 eV for the cell shown. As for the space-group type: No. 139.

Unit cell a=5.585 b=5.585 c=5.585 alpha=130.13 beta=130.13 gamma=73.20
Positions (direct):
Mg (0.250, 0.750, 0.500)
Mg (0.750, 0.250, 0.500)
In (0.000, 0.000, 0.000)
Br (0.500, 0.500, 0.000)

=====

Question: Number 3 is which compound?
Answer: Mg2InBr